The following is a DFT calculation (PBE-GGA) of a relaxed AcNbSb3 crystal.

Unit cell a=5.4047 b=5.4047 c=5.4047 alpha=90.00 beta=90.00 gamma=90.00
Sites, in units of the cell vectors:
Ac 0.0000 0.0000 0.0000
Nb 0.5000 0.5000 0.5000
Sb 0.0000 0.5000 0.5000
Sb 0.5000 0.0000 0.5000
Sb 0.5000 0.5000 0.0000

Crystal system = cubic
DOS(E_F) = 4.327 states/eV per cell
Space-group type = No. 221
Formation energy without anion corrections = -0.20 eV/atom
Size of the total moment = 0.000 μB/cell